# Li3Tm2MnO6

An optimized crystal structure of Li3Tm2MnO6 (PBE with a Hubbard U, Alexandria).

Unit cell a=5.4554 b=9.7118 c=5.2411 alpha=90.00 beta=107.42 gamma=90.00
Space group C2/m (No. 12)
Inequivalent atoms, fractional coordinates:
Li  0.0000  0.0000  0.0000 [2 per cell]
Li  0.0000  0.3713  0.0000 [4 per cell]
Tm  0.0000  0.1666  0.5000 [4 per cell]
Mn  0.0000  0.5000  0.5000 [2 per cell]
O  0.2145  0.3480  0.7255 [8 per cell]
O  0.2490  0.0000  0.7370 [4 per cell]

Computed properties:
DOS at the Fermi energy   0.00 states/eV/cell
Total energy   -6.761 eV/atom